Run a
{
  "formula": "YNbIN2",
  "functional": "SCAN",
  "state": "PBEsol geometry",
  "magmom_total_mub_per_fu": 1.000,
  "sg": "P4/mmm, No. 123",
  "cell": [[4.366, 0.000, 0.000], [0.000, 4.366, 0.000], [0.000, 0.000, 5.732]],
  "species": ["I", "Y", "Nb", "N", "N"],
  "frac_coords": [[0.000, 0.000, 0.500], [0.000, 0.000, 0.000], [0.500, 0.500, 0.500], [0.000, 0.500, 0.000], [0.500, 0.000, 0.000]]
}



Run b
{
  "formula": "YNbIN2",
  "functional": "SCAN",
  "state": "PBEsol geometry",
  "magmom_total_mub_per_fu": 0.000,
  "sg": "P4/mmm, No. 123",
  "cell": [[-2.768, -3.068, 0.362], [2.557, -2.003, 2.580], [-2.242, 2.515, 4.175]],
  "species": ["I", "Y", "Nb", "N", "N"],
  "frac_coords": [[0.000, 0.000, 0.500], [0.500, 0.500, 0.500], [0.000, 0.000, 0.000], [0.000, 0.500, 0.000], [0.500, 0.000, 0.000]]
}



The least stable of the structures above is run a, whereas run b is the most stable.